An optimized crystal structure of Ac5Pr4Tm4. Source: the Alexandria database, functional GGA-PBE.

For the density of states at the Fermi level, the calculation gives 40.96 states/eV per cell. The final energy comes out at -113.62 eV per cell. The value obtained for the volume is 974.7 Å³ per cell. As for the magnetization: 0.00 μB per atom.

The space group is I4/m (No. 87) and the conventional cell measures 13.5846, 13.5846 and 5.2818 Å, with angles of 90.00, 90.00 and 90.00 degrees. The asymmetric unit holds Ac at (0.0000, 0.0000, 0.0000), Ac at (0.0411, 0.8032, 0.5000), Pr at (0.0757, 0.6150, 0.0000) and Tm at (0.1570, 0.2352, 0.0000).


An optimized crystal structure of NbTcB. Source: the Alexandria database, functional GGA-PBE.

For the density of states at the Fermi level, the calculation gives 7.08 states/eV per cell. The final energy comes out at -114.06 eV per cell. The value obtained for the volume is 151.5 Å³ per cell. As for the magnetization: 0.00 μB per atom.

The space group is Cmcm (No. 63) and the conventional cell measures 3.2619, 14.7633 and 3.1462 Å, with angles of 90.00, 90.00 and 90.00 degrees. The asymmetric unit holds Nb at (0.0000, 0.0876, 0.2500), Tc at (0.0000, 0.2992, 0.2500) and B at (0.0000, 0.4663, 0.2500).


An optimized crystal structure of Ag2AuCl. Source: the Alexandria database, functional GGA-PBE.

For the density of states at the Fermi level, the calculation gives 1.35 states/eV per cell. The formation energy without anion corrections is -0.078 eV/atom. The value obtained for the volume is 175.4 Å³ per cell. As for the magnetization: 0.00 μB per atom.

The space group is Cm (No. 8) and the conventional cell measures 13.8151, 3.7125 and 3.4290 Å, with angles of 90.00, 94.16 and 90.00 degrees. The asymmetric unit holds Ag at (0.0000, 0.0000, 0.0000), Ag at (0.1089, 0.5000, 0.5394), Au at (0.4093, 0.0000, 0.4771) and Cl at (0.2312, 0.0000, 0.3206).


An optimized crystal structure of Mg2CdSn2. Source: the Alexandria database, functional GGA-PBE.

For the density of states at the Fermi level, the calculation gives 2.52 states/eV per cell. The final energy comes out at -23.73 eV per cell. The value obtained for the volume is 272.8 Å³ per cell. As for the magnetization: 0.00 μB per atom.

The space group is I4/mmm (No. 139) and the conventional cell measures 4.7031, 4.7031 and 12.3336 Å, with angles of 90.00, 90.00 and 90.00 degrees. The asymmetric unit holds Mg at (0.0000, 0.5000, 0.2500), Cd at (0.0000, 0.0000, 0.0000) and Sn at (0.0000, 0.0000, 0.3880).


- What is the magnetization in the fourth record?
  0.00 μB per atom


- What is the magnetization in the third record?
  0.00 μB per atom


- What is the formula in the second record?
  NbTcB